PBE-GGA Pm2Ni4N, optimized geometry; uncorrected formation energy = -271 meV/atom; space group = I4/mmm; D(E_F) = 6.8 states/eV per cell
1.0
-1.9220 1.9220 7.7114
1.9220 -1.9220 7.7114
1.9220 1.9220 -7.7114
Pm Ni N
2 4 1
Direct
0.1647 0.1647 0.0000 Pm
0.8353 0.8353 0.0000 Pm
0.0000 0.5000 0.5000 Ni
0.3782 0.3782 0.0000 Ni
0.5000 0.0000 0.5000 Ni
0.6218 0.6218 0.0000 Ni
0.5000 0.5000 0.0000 N



PBE-GGA Pm12Ni3N5, optimized geometry; uncorrected formation energy = -645 meV/atom; space group = Ia-3d; D(E_F) = 86.3 states/eV per cell
1.0
-7.7888 7.7888 7.7888
7.7888 -7.7888 7.7888
7.7888 7.7888 -7.7888
Pm Ni N
48 12 20
Direct
0.0238 0.2055 0.1188 Pm
0.0238 0.3184 0.9050 Pm
0.0867 0.7055 0.6816 Pm
0.0867 0.8812 0.4050 Pm
0.0950 0.6188 0.4133 Pm
0.0950 0.9762 0.6816 Pm
0.1188 0.0238 0.2055 Pm
0.1188 0.5950 0.9133 Pm
0.1816 0.2055 0.5867 Pm
0.1816 0.4762 0.5950 Pm
0.2055 0.1188 0.0238 Pm
0.2055 0.5867 0.1816 Pm
0.2945 0.3184 0.9133 Pm
0.2945 0.4762 0.3812 Pm
0.3184 0.9050 0.0238 Pm
0.3184 0.9133 0.2945 Pm
0.3812 0.2945 0.4762 Pm
0.3812 0.5867 0.9050 Pm
0.4050 0.0867 0.8812 Pm
0.4050 0.8184 0.5238 Pm
0.4133 0.0950 0.6188 Pm
0.4133 0.8184 0.7945 Pm
0.4762 0.3812 0.2945 Pm
0.4762 0.5950 0.1816 Pm
0.5238 0.4050 0.8184 Pm
0.5238 0.6188 0.7055 Pm
0.5867 0.1816 0.2055 Pm
0.5867 0.9050 0.3812 Pm
0.5950 0.1816 0.4762 Pm
0.5950 0.9133 0.1188 Pm
0.6188 0.4133 0.0950 Pm
0.6188 0.7055 0.5238 Pm
0.6816 0.0867 0.7055 Pm
0.6816 0.0950 0.9762 Pm
0.7055 0.5238 0.6188 Pm
0.7055 0.6816 0.0867 Pm
0.7945 0.4133 0.8184 Pm
0.7945 0.8812 0.9762 Pm
0.8184 0.5238 0.4050 Pm
0.8184 0.7945 0.4133 Pm
0.8812 0.4050 0.0867 Pm
0.8812 0.9762 0.7945 Pm
0.9050 0.0238 0.3184 Pm
0.9050 0.3812 0.5867 Pm
0.9133 0.1188 0.5950 Pm
0.9133 0.2945 0.3184 Pm
0.9762 0.6816 0.0950 Pm
0.9762 0.7945 0.8812 Pm
0.1250 0.2500 0.3750 Ni
0.1250 0.3750 0.7500 Ni
0.2500 0.3750 0.1250 Ni
0.2500 0.8750 0.6250 Ni
0.3750 0.1250 0.2500 Ni
0.3750 0.7500 0.1250 Ni
0.6250 0.2500 0.8750 Ni
0.6250 0.8750 0.7500 Ni
0.7500 0.1250 0.3750 Ni
0.7500 0.6250 0.8750 Ni
0.8750 0.6250 0.2500 Ni
0.8750 0.7500 0.6250 Ni
0.0000 0.0000 0.0000 N
0.0000 0.0000 0.5000 N
0.0000 0.5000 0.0000 N
0.0000 0.5000 0.5000 N
0.1250 0.7500 0.8750 N
0.1250 0.8750 0.2500 N
0.2500 0.1250 0.8750 N
0.2500 0.6250 0.3750 N
0.3750 0.2500 0.6250 N
0.3750 0.6250 0.7500 N
0.5000 0.0000 0.0000 N
0.5000 0.0000 0.5000 N
0.5000 0.5000 0.0000 N
0.5000 0.5000 0.5000 N
0.6250 0.3750 0.2500 N
0.6250 0.7500 0.3750 N
0.7500 0.3750 0.6250 N
0.7500 0.8750 0.1250 N
0.8750 0.1250 0.7500 N
0.8750 0.2500 0.1250 N



PBE-GGA PmPuNiN3, optimized geometry; uncorrected formation energy = -829 meV/atom; space group = P2_1/m; D(E_F) = 12.2 states/eV per cell
1.0
7.0524 0.0000 0.0000
0.0000 3.4109 0.0000
-1.2852 0.0000 7.1077
Pm Pu Ni N
2 2 2 6
Direct
0.1742 0.2500 0.2102 Pm
0.8258 0.7500 0.7898 Pm
0.3394 0.7500 0.8262 Pu
0.6606 0.2500 0.1738 Pu
0.0962 0.2500 0.5787 Ni
0.9038 0.7500 0.4213 Ni
0.1294 0.2500 0.8619 N
0.1887 0.7500 0.4961 N
0.4283 0.7500 0.1399 N
0.5717 0.2500 0.8601 N
0.8113 0.2500 0.5039 N
0.8706 0.7500 0.1381 N



PBE-GGA PmNi2SbN, optimized geometry; uncorrected formation energy = -643 meV/atom; space group = Cmcm; D(E_F) = 5.3 states/eV per cell
1.0
1.8230 -6.1917 0.0000
1.8230 6.1917 0.0000
0.0000 0.0000 7.0516
Pm Ni Sb N
2 4 2 2
Direct
0.0278 0.9722 0.7500 Pm
0.9722 0.0278 0.2500 Pm
0.3508 0.6492 0.5494 Ni
0.3508 0.6492 0.9506 Ni
0.6492 0.3508 0.0494 Ni
0.6492 0.3508 0.4506 Ni
0.2384 0.7616 0.2500 Sb
0.7616 0.2384 0.7500 Sb
0.5000 0.5000 0.0000 N
0.5000 0.5000 0.5000 N



PBE-GGA PmZr2NiN4, optimized geometry; uncorrected formation energy = -1258 meV/atom; space group = Cmcm; D(E_F) = 5.0 states/eV per cell
1.0
1.6362 -5.5176 0.0000
1.6362 5.5176 0.0000
0.0000 0.0000 11.1477
Pm Zr Ni N
2 4 2 8
Direct
0.1086 0.8914 0.7500 Pm
0.8914 0.1086 0.2500 Pm
0.3675 0.6325 0.5552 Zr
0.3675 0.6325 0.9448 Zr
0.6325 0.3675 0.0552 Zr
0.6325 0.3675 0.4448 Zr
0.1545 0.8455 0.2500 Ni
0.8455 0.1545 0.7500 Ni
0.0000 0.0000 0.0000 N
0.0000 0.0000 0.5000 N
0.2684 0.7316 0.1140 N
0.2684 0.7316 0.3860 N
0.4435 0.5565 0.7500 N
0.5565 0.4435 0.2500 N
0.7316 0.2684 0.6140 N
0.7316 0.2684 0.8860 N



PBE-GGA Pr6Ni2N, optimized geometry; uncorrected formation energy = -411 meV/atom; space group = P2_1/c; D(E_F) = 16.9 states/eV per cell
1.0
6.5885 0.0000 0.0000
0.0000 7.1519 0.0000
-6.4450 0.0000 10.0462
Pr Ni N
12 4 2
Direct
0.1056 0.0414 0.2379 Pr
0.1056 0.4586 0.7379 Pr
0.2369 0.6875 0.0652 Pr
0.2369 0.8125 0.5652 Pr
0.3784 0.1728 0.0638 Pr
0.3784 0.3272 0.5638 Pr
0.6216 0.6728 0.4362 Pr
0.6216 0.8272 0.9362 Pr
0.7631 0.1875 0.4348 Pr
0.7631 0.3125 0.9348 Pr
0.8944 0.5414 0.2621 Pr
0.8944 0.9586 0.7621 Pr
0.3086 0.1013 0.7562 Ni
0.3086 0.3987 0.2562 Ni
0.6914 0.6013 0.7438 Ni
0.6914 0.8987 0.2438 Ni
0.0000 0.0000 0.0000 N
0.0000 0.5000 0.5000 N



PBE-GGA Pr12Ni3N5, optimized geometry; uncorrected formation energy = -571 meV/atom; space group = Ia-3d; D(E_F) = 90.8 states/eV per cell
1.0
-7.9186 7.9186 7.9186
7.9186 -7.9186 7.9186
7.9186 7.9186 -7.9186
Pr Ni N
48 12 20
Direct
0.0243 0.2058 0.1185 Pr
0.0243 0.3185 0.9058 Pr
0.0873 0.7058 0.6815 Pr
0.0873 0.8815 0.4058 Pr
0.0942 0.6185 0.4127 Pr
0.0942 0.9757 0.6815 Pr
0.1185 0.0243 0.2058 Pr
0.1185 0.5942 0.9127 Pr
0.1815 0.2058 0.5873 Pr
0.1815 0.4757 0.5942 Pr
0.2058 0.1185 0.0243 Pr
0.2058 0.5873 0.1815 Pr
0.2942 0.3185 0.9127 Pr
0.2942 0.4757 0.3815 Pr
0.3185 0.9058 0.0243 Pr
0.3185 0.9127 0.2942 Pr
0.3815 0.2942 0.4757 Pr
0.3815 0.5873 0.9058 Pr
0.4058 0.0873 0.8815 Pr
0.4058 0.8185 0.5243 Pr
0.4127 0.0942 0.6185 Pr
0.4127 0.8185 0.7942 Pr
0.4757 0.3815 0.2942 Pr
0.4757 0.5942 0.1815 Pr
0.5243 0.4058 0.8185 Pr
0.5243 0.6185 0.7058 Pr
0.5873 0.1815 0.2058 Pr
0.5873 0.9058 0.3815 Pr
0.5942 0.1815 0.4757 Pr
0.5942 0.9127 0.1185 Pr
0.6185 0.4127 0.0942 Pr
0.6185 0.7058 0.5243 Pr
0.6815 0.0873 0.7058 Pr
0.6815 0.0942 0.9757 Pr
0.7058 0.5243 0.6185 Pr
0.7058 0.6815 0.0873 Pr
0.7942 0.4127 0.8185 Pr
0.7942 0.8815 0.9757 Pr
0.8185 0.5243 0.4058 Pr
0.8185 0.7942 0.4127 Pr
0.8815 0.4058 0.0873 Pr
0.8815 0.9757 0.7942 Pr
0.9058 0.0243 0.3185 Pr
0.9058 0.3815 0.5873 Pr
0.9127 0.1185 0.5942 Pr
0.9127 0.2942 0.3185 Pr
0.9757 0.6815 0.0942 Pr
0.9757 0.7942 0.8815 Pr
0.1250 0.2500 0.3750 Ni
0.1250 0.3750 0.7500 Ni
0.2500 0.3750 0.1250 Ni
0.2500 0.8750 0.6250 Ni
0.3750 0.1250 0.2500 Ni
0.3750 0.7500 0.1250 Ni
0.6250 0.2500 0.8750 Ni
0.6250 0.8750 0.7500 Ni
0.7500 0.1250 0.3750 Ni
0.7500 0.6250 0.8750 Ni
0.8750 0.6250 0.2500 Ni
0.8750 0.7500 0.6250 Ni
0.0000 0.0000 0.0000 N
0.0000 0.0000 0.5000 N
0.0000 0.5000 0.0000 N
0.0000 0.5000 0.5000 N
0.1250 0.7500 0.8750 N
0.1250 0.8750 0.2500 N
0.2500 0.1250 0.8750 N
0.2500 0.6250 0.3750 N
0.3750 0.2500 0.6250 N
0.3750 0.6250 0.7500 N
0.5000 0.0000 0.0000 N
0.5000 0.0000 0.5000 N
0.5000 0.5000 0.0000 N
0.5000 0.5000 0.5000 N
0.6250 0.3750 0.2500 N
0.6250 0.7500 0.3750 N
0.7500 0.3750 0.6250 N
0.7500 0.8750 0.1250 N
0.8750 0.1250 0.7500 N
0.8750 0.2500 0.1250 N



PBE-GGA Pr2NiN, optimized geometry; uncorrected formation energy = -576 meV/atom; space group = R-3m; D(E_F) = 2.9 states/eV per cell
1.0
1.8645 1.0765 6.8539
-1.8645 1.0765 6.8539
0.0000 -2.1529 6.8539
Pr Ni N
2 1 1
Direct
0.2377 0.2377 0.2377 Pr
0.7623 0.7623 0.7623 Pr
0.0000 0.0000 0.0000 Ni
0.5000 0.5000 0.5000 N



Number 1: calculated total energy -6.12 eV per atom. Number 2: calculated total energy -6.44 eV per atom. Number 3: calculated total energy -9.14 eV per atom. Number 4: calculated total energy -6.40 eV per atom. Number 5: calculated total energy -8.87 eV per atom. Number 6: calculated total energy -5.81 eV per atom. Number 7: calculated total energy -6.39 eV per atom. Number 8: calculated total energy -6.49 eV per atom.